This record from the Alexandria database describes crystalline LiNiAu at its relaxed geometry. The functional is GGA-PBEsol.

POSCAR file:
```
LiNiAu
1.0
-1.608 -3.302 -1.672
1.157 -3.660 1.246
-2.541 -2.304 2.125
Au Ni Li
1 1 1
direct
0.000 0.000 0.000
0.250 0.250 0.250
0.500 0.500 0.500
```

Properties
Total DFT energy (no corrections) ... -11.5 eV for the cell shown
Volume ... 15.489 Å³ per atom
Formation enthalpy at 0 K ... 17 kJ per mole of atoms
Density ... 9.38 g/cm3
Relative energy among the computed polymorphs ... 180 meV per atom